(1)
Material: FeCo2Os
Method: DFT, GGA-PBE
State: relaxed

* formation energy: 0.55 eV/f.u.

Cell lengths 2.6246, 2.6246, 8.2977 Å; angles 80.90, 80.90, 60.00 degrees
Sites, in units of the cell vectors:
Co 0.2515 0.2515 0.2456
Fe 0.6667 0.6667 0.0000
Os 0.5003 0.5003 0.4991
Co 0.0816 0.0816 0.7553

=====

(2)
Material: Dy2YSc5
Method: DFT, GGA-PBE
State: relaxed

* formation energy: 0.20 eV/f.u.

Cell lengths 6.8630, 6.8631, 6.3530 Å; angles 105.66, 105.66, 120.01 degrees
Sites, in units of the cell vectors:
Sc 0.3193 0.7303 0.0000
Sc 0.3159 0.2399 0.0000
Dy 0.7317 0.3114 0.4874
Sc 0.7341 0.8217 0.5000
Dy 0.2443 0.8239 0.5126
Sc 0.8254 0.2364 0.0000
Y 0.8182 0.7377 0.0000
Sc 0.2341 0.3217 0.5000

=====

(3)
Material: BaPmAg2Sb2
Method: DFT, GGA-PBE
State: relaxed

* E_form (uncorrected): -714 meV/atom

Cell lengths 4.8169, 4.8169, 8.6221 Å; angles 90.00, 90.00, 120.00 degrees
Sites, in units of the cell vectors:
Pm 0.0000 0.0000 0.5000
Ba 0.0000 0.0000 0.0000
Sb 0.6667 0.3333 0.7318
Ag 0.3333 0.6667 0.6912
Sb 0.3333 0.6667 0.2682
Ag 0.6667 0.3333 0.3088

=====

Number 1: density 12.42 g/cm³, total magnetic moment 5.05 μB/cell. Number 2: density 4.86 g/cm³, total magnetic moment 0.06 μB/cell. Number 3: density 7.11 g/cm³, total magnetic moment 0.00 μB/cell.